Run w
# K3Ru (PBE, relaxed)
# - total moment (Bohr magnetons per cell) = 3.44
# - DOS at the Fermi energy (states/eV per cell) = 8.39
data_K3Ru
_cell_length_a 3.3525
_cell_length_b 5.9313
_cell_length_c 18.0437
_cell_angle_alpha 90.00
_cell_angle_beta 90.00
_cell_angle_gamma 90.00
_space_group_name_H-M_alt 'I m m m'
_space_group_IT_number 71
_space_group_name_Hall '-I 2 2'
loop_
_atom_site_label
_atom_site_type_symbol
_atom_site_fract_x
_atom_site_fract_y
_atom_site_fract_z
K1 K 0.0000 0.0000 0.0000
K2 K 0.0000 0.5000 0.1576
Ru1 Ru 0.0000 0.0000 0.5000



Run x
# K3Ru (PBE, relaxed)
# - total moment (Bohr magnetons per cell) = 2.22
# - DOS at the Fermi energy (states/eV per cell) = 5.90
data_K3Ru
_cell_length_a 5.5119
_cell_length_b 5.5119
_cell_length_c 5.5119
_cell_angle_alpha 90.00
_cell_angle_beta 90.00
_cell_angle_gamma 90.00
_space_group_name_H-M_alt 'P m -3 m'
_space_group_IT_number 221
_space_group_name_Hall '-P 4 2 3'
loop_
_atom_site_label
_atom_site_type_symbol
_atom_site_fract_x
_atom_site_fract_y
_atom_site_fract_z
K1 K 0.0000 0.0000 0.5000
Ru1 Ru 0.5000 0.5000 0.5000



run w ends up most stable, edging out the next structure by 116 meV per atom.



Run w
# K3Ru (PBE, relaxed)
# - total moment (Bohr magnetons per cell) = 5.39
# - DOS at the Fermi energy (states/eV per cell) = 12.18
data_K3Ru
_cell_length_a 3.7099
_cell_length_b 3.7099
_cell_length_c 40.6657
_cell_angle_alpha 90.00
_cell_angle_beta 90.00
_cell_angle_gamma 120.00
_space_group_name_H-M_alt 'R -3 m'
_space_group_IT_number 166
_space_group_name_Hall '-R 3 2"'
loop_
_atom_site_label
_atom_site_type_symbol
_atom_site_fract_x
_atom_site_fract_y
_atom_site_fract_z
K1 K 0.0000 0.0000 0.0000
K2 K 0.0000 0.0000 0.2285
Ru1 Ru 0.0000 0.0000 0.5000



Run x
# K3Ru (PBE, relaxed)
# - total moment (Bohr magnetons per cell) = 3.96
# - DOS at the Fermi energy (states/eV per cell) = 7.19
data_K3Ru
_cell_length_a 5.1143
_cell_length_b 5.1286
_cell_length_c 12.7766
_cell_angle_alpha 90.00
_cell_angle_beta 90.00
_cell_angle_gamma 90.00
_space_group_name_H-M_alt 'C m m m'
_space_group_IT_number 65
_space_group_name_Hall '-C 2 2'
loop_
_atom_site_label
_atom_site_type_symbol
_atom_site_fract_x
_atom_site_fract_y
_atom_site_fract_z
K1 K 0.0000 0.0000 0.0000
K2 K 0.0000 0.5000 0.3252
Ru1 Ru 0.0000 0.0000 0.5000



Run y
# K3Ru (PBE, relaxed)
# - total moment (Bohr magnetons per cell) = 3.43
# - DOS at the Fermi energy (states/eV per cell) = 9.12
data_K3Ru
_cell_length_a 7.3343
_cell_length_b 11.8216
_cell_length_c 3.4327
_cell_angle_alpha 90.00
_cell_angle_beta 90.00
_cell_angle_gamma 90.00
_space_group_name_H-M_alt 'C m m m'
_space_group_IT_number 65
_space_group_name_Hall '-C 2 2'
loop_
_atom_site_label
_atom_site_type_symbol
_atom_site_fract_x
_atom_site_fract_y
_atom_site_fract_z
K1 K 0.0000 0.0000 0.0000
K2 K 0.2500 0.2500 0.5000
Ru1 Ru 0.0000 0.5000 0.0000



Run z
# K3Ru (PBE, relaxed)
# - total moment (Bohr magnetons per cell) = 3.34
# - DOS at the Fermi energy (states/eV per cell) = 15.78
data_K3Ru
_cell_length_a 6.7894
_cell_length_b 6.7894
_cell_length_c 6.7894
_cell_angle_alpha 90.00
_cell_angle_beta 90.00
_cell_angle_gamma 90.00
_space_group_name_H-M_alt 'P m -3 n'
_space_group_IT_number 223
_space_group_name_Hall '-P 4n 2 3'
loop_
_atom_site_label
_atom_site_type_symbol
_atom_site_fract_x
_atom_site_fract_y
_atom_site_fract_z
K1 K 0.0000 0.2500 0.5000
Ru1 Ru 0.0000 0.0000 0.0000



run x ends up most stable, edging out the next structure by 79 meV per atom.



Run w
# K3Ru (PBE, relaxed)
# - total moment (Bohr magnetons per cell) = 2.06
# - DOS at the Fermi energy (states/eV per cell) = 3.43
data_K3Ru
_cell_length_a 3.7398
_cell_length_b 3.7398
_cell_length_c 13.5295
_cell_angle_alpha 90.00
_cell_angle_beta 90.00
_cell_angle_gamma 120.00
_space_group_name_H-M_alt 'P -6 m 2'
_space_group_IT_number 187
_space_group_name_Hall 'P -6 2'
loop_
_atom_site_label
_atom_site_type_symbol
_atom_site_fract_x
_atom_site_fract_y
_atom_site_fract_z
K1 K 0.0000 0.0000 0.0000
K2 K 0.3333 0.6667 0.3129
Ru1 Ru 0.0000 0.0000 0.5000



Run x
# K3Ru (PBE, relaxed)
# - total moment (Bohr magnetons per cell) = 6.41
# - DOS at the Fermi energy (states/eV per cell) = 24.66
data_K3Ru
_cell_length_a 8.4835
_cell_length_b 8.4835
_cell_length_c 8.4835
_cell_angle_alpha 90.00
_cell_angle_beta 90.00
_cell_angle_gamma 90.00
_space_group_name_H-M_alt 'F m -3 m'
_space_group_IT_number 225
_space_group_name_Hall '-F 4 2 3'
loop_
_atom_site_label
_atom_site_type_symbol
_atom_site_fract_x
_atom_site_fract_y
_atom_site_fract_z
K1 K 0.0000 0.0000 0.0000
K2 K 0.2500 0.2500 0.2500
Ru1 Ru 0.0000 0.0000 0.5000



run x ends up most stable, edging out the next structure by 8 meV per atom.



Run w
# K5Ru (PBE, relaxed)
# - total moment (Bohr magnetons per cell) = 3.93
# - DOS at the Fermi energy (states/eV per cell) = 12.29
data_K5Ru
_cell_length_a 6.4505
_cell_length_b 4.5041
_cell_length_c 22.0015
_cell_angle_alpha 90.00
_cell_angle_beta 90.00
_cell_angle_gamma 90.00
_space_group_name_H-M_alt 'A m m 2'
_space_group_IT_number 38
loop_
_space_group_symop_operation_xyz
'x,y,z'
'-x,-y,z'
'-x,y,z'
'x,-y,z'
'x,y+1/2,z+1/2'
'-x,-y+1/2,z+1/2'
'-x,y+1/2,z+1/2'
'x,-y+1/2,z+1/2'
loop_
_atom_site_label
_atom_site_type_symbol
_atom_site_fract_x
_atom_site_fract_y
_atom_site_fract_z
K1 K 0.0000 0.0000 0.0000
K2 K 0.0000 0.0000 0.2367
K3 K 0.5000 0.0000 0.0846
K4 K 0.5000 0.0000 0.3976
K5 K 0.5000 0.0000 0.7220
Ru1 Ru 0.0000 0.0000 0.6214



Run x
# K5Ru (PBE, relaxed)
# - total moment (Bohr magnetons per cell) = 1.91
# - DOS at the Fermi energy (states/eV per cell) = 11.90
data_K5Ru
_cell_length_a 7.4210
_cell_length_b 7.4210
_cell_length_c 6.1600
_cell_angle_alpha 90.00
_cell_angle_beta 90.00
_cell_angle_gamma 120.00
_space_group_name_H-M_alt 'P -6 2 m'
_space_group_IT_number 189
_space_group_name_Hall 'P -6 -2'
loop_
_atom_site_label
_atom_site_type_symbol
_atom_site_fract_x
_atom_site_fract_y
_atom_site_fract_z
K1 K 0.0000 0.7145 0.0000
K2 K 0.3333 0.6667 0.5000
Ru1 Ru 0.0000 0.0000 0.5000



Run y
# K5Ru (PBE, relaxed)
# - total moment (Bohr magnetons per cell) = 2.27
# - DOS at the Fermi energy (states/eV per cell) = 10.42
data_K5Ru
_cell_length_a 7.4620
_cell_length_b 7.4620
_cell_length_c 7.4134
_cell_angle_alpha 90.00
_cell_angle_beta 90.00
_cell_angle_gamma 120.00
_space_group_name_H-M_alt 'P 6/m m m'
_space_group_IT_number 191
_space_group_name_Hall '-P 6 2'
loop_
_atom_site_label
_atom_site_type_symbol
_atom_site_fract_x
_atom_site_fract_y
_atom_site_fract_z
K1 K 0.0000 0.5000 0.0000
K2 K 0.3333 0.6667 0.5000
Ru1 Ru 0.0000 0.0000 0.5000



Run z
# K5Ru (PBE, relaxed)
# - total moment (Bohr magnetons per cell) = 8.85
# - DOS at the Fermi energy (states/eV per cell) = 24.19
data_K5Ru
_cell_length_a 10.8120
_cell_length_b 10.8120
_cell_length_c 10.8120
_cell_angle_alpha 90.00
_cell_angle_beta 90.00
_cell_angle_gamma 90.00
_space_group_name_H-M_alt 'F -4 3 m'
_space_group_IT_number 216
_space_group_name_Hall 'F -4 2 3'
loop_
_atom_site_label
_atom_site_type_symbol
_atom_site_fract_x
_atom_site_fract_y
_atom_site_fract_z
K1 K 0.0000 0.0000 0.0000
K2 K 0.1229 0.1229 0.6229
Ru1 Ru 0.2500 0.2500 0.2500



run w ends up most stable, edging out the next structure by 28 meV per atom.



Run w
# KRu4 (PBE, relaxed)
# - total moment (Bohr magnetons per cell) = 0.00
# - DOS at the Fermi energy (states/eV per cell) = 17.97
data_KRu4
_cell_length_a 5.6841
_cell_length_b 5.6841
_cell_length_c 5.6841
_cell_angle_alpha 90.00
_cell_angle_beta 90.00
_cell_angle_gamma 90.00
_space_group_name_H-M_alt 'I m -3 m'
_space_group_IT_number 229
_space_group_name_Hall '-I 4 2 3'
loop_
_atom_site_label
_atom_site_type_symbol
_atom_site_fract_x
_atom_site_fract_y
_atom_site_fract_z
K1 K 0.0000 0.0000 0.0000
Ru1 Ru 0.2500 0.2500 0.2500



Run x
# KRu4 (PBE, relaxed)
# - total moment (Bohr magnetons per cell) = 4.86
# - DOS at the Fermi energy (states/eV per cell) = 10.46
data_KRu4
_cell_length_a 4.4936
_cell_length_b 4.4936
_cell_length_c 4.4936
_cell_angle_alpha 90.00
_cell_angle_beta 90.00
_cell_angle_gamma 90.00
_space_group_name_H-M_alt 'P m -3 m'
_space_group_IT_number 221
_space_group_name_Hall '-P 4 2 3'
loop_
_atom_site_label
_atom_site_type_symbol
_atom_site_fract_x
_atom_site_fract_y
_atom_site_fract_z
K1 K 0.0000 0.0000 0.0000
Ru1 Ru 0.0000 0.0000 0.5000
Ru2 Ru 0.5000 0.5000 0.5000



run w ends up most stable, edging out the next structure by 389 meV per atom.



Run w
# KRu3 (PBE, relaxed)
# - total moment (Bohr magnetons per cell) = 2.01
# - DOS at the Fermi energy (states/eV per cell) = 10.66
data_KRu3
_cell_length_a 2.8167
_cell_length_b 4.6798
_cell_length_c 10.2394
_cell_angle_alpha 90.00
_cell_angle_beta 90.00
_cell_angle_gamma 90.00
_space_group_name_H-M_alt 'C m m m'
_space_group_IT_number 65
_space_group_name_Hall '-C 2 2'
loop_
_atom_site_label
_atom_site_type_symbol
_atom_site_fract_x
_atom_site_fract_y
_atom_site_fract_z
K1 K 0.0000 0.0000 0.0000
Ru1 Ru 0.0000 0.0000 0.5000
Ru2 Ru 0.0000 0.5000 0.2836



Run x
# KRu3 (PBE, relaxed)
# - total moment (Bohr magnetons per cell) = 4.66
# - DOS at the Fermi energy (states/eV per cell) = 21.68
data_KRu3
_cell_length_a 6.3973
_cell_length_b 6.3973
_cell_length_c 6.3973
_cell_angle_alpha 90.00
_cell_angle_beta 90.00
_cell_angle_gamma 90.00
_space_group_name_H-M_alt 'F m -3 m'
_space_group_IT_number 225
_space_group_name_Hall '-F 4 2 3'
loop_
_atom_site_label
_atom_site_type_symbol
_atom_site_fract_x
_atom_site_fract_y
_atom_site_fract_z
K1 K 0.0000 0.0000 0.0000
Ru1 Ru 0.0000 0.0000 0.5000
Ru2 Ru 0.2500 0.2500 0.2500



Run y
# KRu3 (PBE, relaxed)
# - total moment (Bohr magnetons per cell) = 0.00
# - DOS at the Fermi energy (states/eV per cell) = 9.04
data_KRu3
_cell_length_a 2.7729
_cell_length_b 2.7729
_cell_length_c 30.4050
_cell_angle_alpha 90.00
_cell_angle_beta 90.00
_cell_angle_gamma 120.00
_space_group_name_H-M_alt 'R -3 m'
_space_group_IT_number 166
_space_group_name_Hall '-R 3 2"'
loop_
_atom_site_label
_atom_site_type_symbol
_atom_site_fract_x
_atom_site_fract_y
_atom_site_fract_z
K1 K 0.0000 0.0000 0.0000
Ru1 Ru 0.0000 0.0000 0.2361
Ru2 Ru 0.0000 0.0000 0.5000



Run z
# KRu3 (PBE, relaxed)
# - total moment (Bohr magnetons per cell) = 3.07
# - DOS at the Fermi energy (states/eV per cell) = 13.95
data_KRu3
_cell_length_a 5.7936
_cell_length_b 8.8382
_cell_length_c 2.6084
_cell_angle_alpha 90.00
_cell_angle_beta 90.00
_cell_angle_gamma 90.00
_space_group_name_H-M_alt 'C m m m'
_space_group_IT_number 65
_space_group_name_Hall '-C 2 2'
loop_
_atom_site_label
_atom_site_type_symbol
_atom_site_fract_x
_atom_site_fract_y
_atom_site_fract_z
K1 K 0.0000 0.0000 0.0000
Ru1 Ru 0.0000 0.5000 0.0000
Ru2 Ru 0.2500 0.2500 0.5000



run y ends up most stable, edging out the next structure by 189 meV per atom.



Run w
# KRu3 (PBE, relaxed)
# - total moment (Bohr magnetons per cell) = 0.00
# - DOS at the Fermi energy (states/eV per cell) = 8.92
data_KRu3
_cell_length_a 3.7927
_cell_length_b 5.6369
_cell_length_c 8.2385
_cell_angle_alpha 90.00
_cell_angle_beta 90.00
_cell_angle_gamma 90.00
_space_group_name_H-M_alt 'P m m n'
_space_group_IT_number 59
loop_
_space_group_symop_operation_xyz
'x,y,z'
'-x,-y,-z'
'-x+1/2,-y+1/2,z'
'x+1/2,y+1/2,-z'
'x+1/2,-y,-z'
'-x+1/2,y,z'
'-x,y+1/2,-z'
'x,-y+1/2,z'
loop_
_atom_site_label
_atom_site_type_symbol
_atom_site_fract_x
_atom_site_fract_y
_atom_site_fract_z
K1 K 0.2500 0.2500 0.0781
Ru1 Ru 0.2500 0.5331 0.5914
Ru2 Ru 0.2500 0.7500 0.3102



Run x
# KRu3 (PBE, relaxed)
# - total moment (Bohr magnetons per cell) = 0.00
# - DOS at the Fermi energy (states/eV per cell) = 4.91
data_KRu3
_cell_length_a 2.7061
_cell_length_b 3.7811
_cell_length_c 7.8339
_cell_angle_alpha 90.00
_cell_angle_beta 90.75
_cell_angle_gamma 90.00
_space_group_name_H-M_alt 'P 1 2/m 1'
_space_group_IT_number 10
loop_
_space_group_symop_operation_xyz
'x,y,z'
'-x,-y,-z'
'-x,y,-z'
'x,-y,z'
loop_
_atom_site_label
_atom_site_type_symbol
_atom_site_fract_x
_atom_site_fract_y
_atom_site_fract_z
K1 K 0.0000 0.0000 0.0000
Ru1 Ru 0.0000 0.0000 0.5000
Ru2 Ru 0.4940 0.5000 0.3404



run x ends up most stable, edging out the next structure by 55 meV per atom.



Run w
# KRu5 (PBE, relaxed)
# - total moment (Bohr magnetons per cell) = 0.01
# - DOS at the Fermi energy (states/eV per cell) = 47.99
data_KRu5
_cell_length_a 7.3538
_cell_length_b 7.3538
_cell_length_c 7.3538
_cell_angle_alpha 90.00
_cell_angle_beta 90.00
_cell_angle_gamma 90.00
_space_group_name_H-M_alt 'F -4 3 m'
_space_group_IT_number 216
_space_group_name_Hall 'F -4 2 3'
loop_
_atom_site_label
_atom_site_type_symbol
_atom_site_fract_x
_atom_site_fract_y
_atom_site_fract_z
K1 K 0.0000 0.0000 0.0000
Ru1 Ru 0.1244 0.1244 0.3756
Ru2 Ru 0.2500 0.2500 0.7500



Run x
# KRu5 (PBE, relaxed)
# - total moment (Bohr magnetons per cell) = 3.19
# - DOS at the Fermi energy (states/eV per cell) = 9.17
data_KRu5
_cell_length_a 5.3005
_cell_length_b 5.3005
_cell_length_c 4.3382
_cell_angle_alpha 90.00
_cell_angle_beta 90.00
_cell_angle_gamma 120.00
_space_group_name_H-M_alt 'P 6/m m m'
_space_group_IT_number 191
_space_group_name_Hall '-P 6 2'
loop_
_atom_site_label
_atom_site_type_symbol
_atom_site_fract_x
_atom_site_fract_y
_atom_site_fract_z
K1 K 0.0000 0.0000 0.0000
Ru1 Ru 0.0000 0.5000 0.5000
Ru2 Ru 0.3333 0.6667 0.0000



Run y
# KRu5 (PBE, relaxed)
# - total moment (Bohr magnetons per cell) = 0.66
# - DOS at the Fermi energy (states/eV per cell) = 18.23
data_KRu5
_cell_length_a 4.2829
_cell_length_b 2.7129
_cell_length_c 19.2811
_cell_angle_alpha 90.00
_cell_angle_beta 90.00
_cell_angle_gamma 90.00
_space_group_name_H-M_alt 'A m m 2'
_space_group_IT_number 38
loop_
_space_group_symop_operation_xyz
'x,y,z'
'-x,-y,z'
'-x,y,z'
'x,-y,z'
'x,y+1/2,z+1/2'
'-x,-y+1/2,z+1/2'
'-x,y+1/2,z+1/2'
'x,-y+1/2,z+1/2'
loop_
_atom_site_label
_atom_site_type_symbol
_atom_site_fract_x
_atom_site_fract_y
_atom_site_fract_z
K1 K 0.0000 0.0000 0.0000
Ru1 Ru 0.0000 0.0000 0.3248
Ru2 Ru 0.0000 0.0000 0.7022
Ru3 Ru 0.5000 0.0000 0.2443
Ru4 Ru 0.5000 0.0000 0.6268
Ru5 Ru 0.5000 0.0000 0.8612



run y ends up most stable, edging out the next structure by 272 meV per atom.